# 1
The following is a GGA-PBE calculation of Sm3Si3Ir after structural relaxation, from Alexandria.

a b c (Å): 4.307 5.803 13.262
angles (deg): 84.17 80.66 68.22
Fractional positions:
Sm 0.746 0.738 0.771
Sm 0.474 0.674 0.379
Sm 0.254 0.262 0.229
Sm 0.396 0.287 0.922
Sm 0.604 0.713 0.078
Sm 0.526 0.326 0.621
Si 0.955 0.858 0.232
Si 0.152 0.235 0.461
Si 0.045 0.142 0.768
Si 0.894 0.138 0.073
Si 0.106 0.862 0.927
Si 0.848 0.765 0.539
Ir 0.752 0.104 0.392
Ir 0.248 0.896 0.608

Calculated values
Uncorrected formation energy = -0.861 eV per atom

---

# 2
The following is a GGA-PBE calculation of ScZn2Re after structural relaxation, from Alexandria.

a b c (Å): 4.238 2.821 5.523
angles (deg): 75.24 90.00 90.00
Fractional positions:
Re 0.000 0.448 0.479
Sc 0.500 0.809 0.757
Zn 0.000 0.184 0.007
Zn 0.500 0.059 0.257

Calculated values
Excess energy over the best structure of this formula in the dataset = 0.097 eV/atom
DFT formation energy = 0.01 eV/atom

---

# 3
The following is a GGA-PBE calculation of TlP2Se after structural relaxation, from Alexandria.

a b c (Å): 5.307 5.307 6.168
angles (deg): 66.29 66.29 36.95
Fractional positions:
Tl 0.718 0.718 0.774
P 0.285 0.285 0.178
P 0.938 0.938 0.172
Se 0.559 0.559 0.376

Calculated values
Excess energy over the best structure of this formula in the dataset = 0.107 eV/atom
Uncorrected formation energy = 0.173 eV per atom

---

Number 1: calculated total energy -6.473 eV per atom. Number 2: calculated total energy -5.321 eV per atom. Number 3: calculated total energy -3.995 eV per atom.